[1]
RbHf2Bi2O7 after structural relaxation, computed with PBE.

* energy relative to the elements, uncorrected: -2.182 eV per atom
* calculated density: 7.62 g/cm3
* total moment: 0.00 μB per cell

Cell lengths 3.822, 18.880, 5.872 Å; angles 90.00, 90.00, 90.00 degrees
Space group Imm2 (No. 44)
Inequivalent atoms, fractional coordinates:
Rb: 0.000 0.000 0.000 x2
Hf: 0.000 0.397 0.028 x4
Bi: 0.000 0.289 0.553 x4
O: 0.000 0.122 0.640 x4
O: 0.000 0.276 0.963 x4
O: 0.000 0.400 0.696 x4
O: 0.000 0.500 0.101 x2

[2]
SrNi10P6 after structural relaxation, computed with PBE.

* calculated total energy: -6.0364 eV/atom
* calculated density: 6.30 g/cm3
* total moment: 0.00 μB per cell

Cell lengths 6.406, 16.179, 8.747 Å; angles 90.00, 90.00, 90.00 degrees
Space group Cmce (No. 64)
Inequivalent atoms, fractional coordinates:
Sr: 0.000 0.000 0.000 x4
Ni: 0.000 0.044 0.381 x8
Ni: 0.000 0.208 0.210 x8
Ni: 0.201 0.173 0.471 x16
Ni: 0.250 0.162 0.750 x8
P: 0.000 0.090 0.628 x8
P: 0.000 0.209 0.927 x8
P: 0.250 0.106 0.250 x8

[3]
Ca2HgH6 after structural relaxation, computed with PBE.

* calculated total energy: -2.7676 eV/atom
* calculated density: 4.74 g/cm3
* total moment: 0.00 μB per cell

Cell lengths 7.381, 7.381, 7.381 Å; angles 90.00, 90.00, 90.00 degrees
Space group Fm-3m (No. 225)
Inequivalent atoms, fractional coordinates:
Ca: 0.250 0.250 0.250 x8
Hg: 0.000 0.000 0.000 x4
H: 0.000 0.000 0.271 x24

[4]
La6HgRh2Br3 after structural relaxation, computed with PBE.

* energy relative to the elements, uncorrected: -1.056 eV per atom
* calculated density: 6.52 g/cm3
* total moment: 0.00 μB per cell

Cell lengths 19.976, 4.241, 9.400 Å; angles 90.00, 108.80, 90.00 degrees
Space group C2/m (No. 12)
Inequivalent atoms, fractional coordinates:
La: 0.021 0.000 0.259 x4
La: 0.164 0.500 0.125 x4
La: 0.182 0.500 0.561 x4
Hg: 0.000 0.500 0.000 x2
Rh: 0.169 0.000 0.340 x4
Br: 0.000 0.500 0.500 x2
Br: 0.163 0.000 0.838 x4

[5]
RbBaGeOs2 after structural relaxation, computed with PBE.

* calculated total energy: -3.2293 eV/atom
* calculated density: 8.00 g/cm3
* total moment: 0.00 μB per cell

Cell lengths 4.946, 4.946, 5.735 Å; angles 90.00, 90.00, 90.00 degrees
Space group P4/mmm (No. 123)
Inequivalent atoms, fractional coordinates:
Rb: 0.000 0.000 0.000 x1
Ba: 0.000 0.000 0.500 x1
Ge: 0.500 0.500 0.500 x1
Os: 0.000 0.500 0.000 x2

[6]
NaMn2ZnSb after structural relaxation, computed with PBE.

* energy relative to the elements, uncorrected: 0.596 eV per atom
* calculated density: 4.76 g/cm3
* total moment: 7.73 μB per cell

Cell lengths 4.758, 4.758, 4.934 Å; angles 90.00, 90.00, 90.00 degrees
Space group P4/mmm (No. 123)
Inequivalent atoms, fractional coordinates:
Na: 0.000 0.000 0.000 x1
Mn: 0.000 0.500 0.500 x2
Zn: 0.000 0.000 0.500 x1
Sb: 0.500 0.500 0.000 x1

[7]
LaZrS3 after structural relaxation, computed with PBE.

* energy relative to the elements, uncorrected: -1.812 eV per atom
* calculated density: 4.64 g/cm3
* total moment: 0.00 μB per cell
* energy relative to the lowest polymorph listed for this composition: 53 meV per atom

Cell lengths 14.412, 3.797, 10.536 Å; angles 90.00, 125.91, 90.00 degrees
Space group C2/m (No. 12)
Inequivalent atoms, fractional coordinates:
La: 0.083 0.000 0.408 x4
Zr: 0.248 0.500 0.139 x4
S: 0.111 0.500 0.663 x4
S: 0.117 0.000 0.949 x4
S: 0.175 0.500 0.311 x4

[8]
Ta2MoAs after structural relaxation, computed with PBE.

* calculated total energy: -9.8126 eV/atom
* calculated density: 13.22 g/cm3
* total moment: 0.00 μB per cell

Cell lengths 3.438, 4.350, 4.473 Å; angles 90.00, 90.00, 90.00 degrees
Space group Pmmm (No. 47)
Inequivalent atoms, fractional coordinates:
Ta: 0.000 0.000 0.000 x1
Ta: 0.500 0.000 0.500 x1
Mo: 0.000 0.500 0.500 x1
As: 0.500 0.500 0.000 x1

[9]
KBe3P2 after structural relaxation, computed with PBE.

* calculated total energy: -4.1148 eV/atom
* calculated density: 2.12 g/cm3
* total moment: 0.00 μB per cell

Cell lengths 14.182, 3.617, 8.578 Å; angles 90.00, 114.23, 90.00 degrees
Space group C2/m (No. 12)
Inequivalent atoms, fractional coordinates:
K: 0.127 0.000 0.038 x4
Be: 0.090 0.500 0.612 x4
Be: 0.120 0.000 0.445 x4
Be: 0.212 0.500 0.402 x4
P: 0.045 0.500 0.312 x4
P: 0.182 0.000 0.718 x4

[10]
MnTcRuW after structural relaxation, computed with PBE.

* calculated total energy: -10.4414 eV/atom
* calculated density: 12.47 g/cm3
* total moment: 14.85 μB per cell

Cell lengths 6.155, 6.155, 6.155 Å; angles 90.00, 90.00, 90.00 degrees
Space group F-43m (No. 216)
Inequivalent atoms, fractional coordinates:
Mn: 0.000 0.000 0.000 x4
Tc: 0.250 0.250 0.250 x4
Ru: 0.250 0.250 0.750 x4
W: 0.000 0.000 0.500 x4

[11]
CaDyZnGa after structural relaxation, computed with PBE.

* calculated total energy: -3.1450 eV/atom
* calculated density: 5.95 g/cm3
* total moment: 0.00 μB per cell

Cell lengths 7.222, 7.222, 7.222 Å; angles 90.00, 90.00, 90.00 degrees
Space group F-43m (No. 216)
Inequivalent atoms, fractional coordinates:
Ca: 0.000 0.000 0.000 x4
Dy: 0.000 0.000 0.500 x4
Zn: 0.250 0.250 0.750 x4
Ga: 0.250 0.250 0.250 x4

[12]
Sc8TlZn2 after structural relaxation, computed with PBE.

* calculated density: 4.74 g/cm3
* total moment: 0.00 μB per cell
* energy relative to the lowest polymorph listed for this composition: 0 meV per atom

Cell lengths 15.106, 4.760, 7.658 Å; angles 90.00, 117.82, 90.00 degrees
Space group C2/m (No. 12)
Inequivalent atoms, fractional coordinates:
Sc: 0.061 0.000 0.226 x4
Sc: 0.104 0.500 0.967 x4
Sc: 0.154 0.000 0.712 x4
Sc: 0.187 0.500 0.460 x4
Tl: 0.000 0.500 0.500 x2
Zn: 0.216 0.000 0.123 x4